Li2V2OF6 | GGA+U | optimized geometry

E_tot ... -5.897 eV/atom
Distance to the lowest polymorph of the same formula ... 35 meV per atom
Volume ... 12.26 Å³ per atom

a = 5.7008 Å, b = 7.2700 Å, c = 7.3613 Å
α = 73.84°, β = 67.42°, γ = 88.12°
With the nearest neighbours (Å) after each atom.
Space group P-1 (No. 2)
Inequivalent atoms, fractional coordinates:
Li  0.1749  0.4381  0.3512 [2 per cell]  4 F 1.88-1.95
Li  0.2439  0.5034  0.8297 [2 per cell]  3 F 1.88-2.00, 1 O 1.96
V  0.1071  0.1241  0.0911 [2 per cell]  1 O 1.87, 4 F 1.95-2.07
V  0.4517  0.8382  0.3938 [2 per cell]  1 O 1.86, 3 F 1.96-2.00
O  0.3588  0.2456  0.8332 [2 per cell]  2 V 1.86-1.87, 1 Li 1.96
F  0.0843  0.3941  0.1353 [2 per cell]  3 Li 1.94-2.00, 1 V 2.07
F  0.1419  0.8604  0.0398 [2 per cell]  2 V 1.98-2.04
F  0.1541  0.6598  0.4522 [2 per cell]  2 Li 1.88-1.94, 1 V 2.00
F  0.2471  0.9659  0.6442 [2 per cell]  3 V 2.15-2.20
F  0.3046  0.0595  0.2616 [2 per cell]  2 V 1.95-1.98
F  0.4743  0.3431  0.3869 [2 per cell]  2 Li 1.88-1.90, 1 V 1.96